No. 1
Compound: KMnBr2
Source: Alexandria via LeMat-Bulk
Functional: SCAN
Structure: PBEsol geometry

## Properties
formation energy (no corrections) = -79.9 kJ/mol of atoms

Cell lengths 4.193, 4.193, 13.159 Å; angles 90.00, 90.00, 90.00 degrees
Space group I-4m2 (No. 119)
Asymmetric unit:
K: 0.000 0.000 0.000
Mn: 0.000 0.500 0.250
Br: 0.000 0.000 0.500
Br: 0.000 0.500 0.750

No. 2
Compound: Zn2PRh
Source: Alexandria via LeMat-Bulk
Functional: SCAN
Structure: PBEsol geometry

## Properties
E_form = 0.22 eV per formula unit

Cell lengths 2.790, 2.790, 7.314 Å; angles 90.00, 90.00, 90.00 degrees
Space group P4/mmm (No. 123)
Asymmetric unit:
Zn: 0.000 0.000 0.229
P: 0.500 0.500 0.500
Rh: 0.500 0.500 0.000

No. 3
Compound: NaSi2HgS
Source: Alexandria via LeMat-Bulk
Functional: SCAN
Structure: PBEsol geometry

## Properties
formation energy (no corrections) = 46.4 kJ/mol of atoms

Cell lengths 4.738, 4.738, 4.877 Å; angles 90.00, 90.00, 90.00 degrees
Space group P4/mmm (No. 123)
Asymmetric unit:
Na: 0.000 0.000 0.000
Si: 0.000 0.500 0.500
Hg: 0.500 0.500 0.000
S: 0.000 0.000 0.500

Number 1: V 231.3 Å³ per cell, total magnetization 1.426 μB/atom. Number 2: V 56.9 Å³ per cell, total magnetization 0.000 μB/atom. Number 3: V 109.5 Å³ per cell, total magnetization 0.000 μB/atom.